Entry 1:
The following is a DFT calculation (PBE-GGA) of CaPb4Se after structural relaxation.

Values from the calculation:
The calculation puts the density of states at the Fermi level at 0.85 states/eV/atom. As for the formation energy without anion corrections: -0.07 eV per atom.

Cell and atoms, written as CIF:
```
data_CaPb4Se
_chemical_formula_sum 'Ca4 Pb16 Se4'
_cell_length_a 9.1058
_cell_length_b 9.1058
_cell_length_c 9.1058
_cell_angle_alpha 90.00
_cell_angle_beta 90.00
_cell_angle_gamma 90.00
_symmetry_space_group_name_H-M 'F -4 3 m'
_symmetry_Int_Tables_number 216
_symmetry_space_group_name_Hall 'F -4 2 3'
loop_
_atom_site_label
_atom_site_type_symbol
_atom_site_fract_x
_atom_site_fract_y
_atom_site_fract_z
Ca1 Ca 0.0000 0.0000 0.0000
Pb1 Pb 0.1254 0.1254 0.6254
Se1 Se 0.2500 0.2500 0.2500
```

Entry 2:
The following is a DFT calculation (PBE-GGA) of Ca2PbSe after structural relaxation.

Values from the calculation:
The calculation puts the density of states at the Fermi level at 0.63 states/eV/atom. As for the formation energy without anion corrections: -0.82 eV per atom.

Cell and atoms, written as CIF:
```
data_Ca2PbSe
_chemical_formula_sum 'Ca4 Pb2 Se2'
_cell_length_a 4.3969
_cell_length_b 4.3969
_cell_length_c 11.9573
_cell_angle_alpha 90.00
_cell_angle_beta 90.00
_cell_angle_gamma 90.00
_symmetry_space_group_name_H-M 'I -4 m 2'
_symmetry_Int_Tables_number 119
_symmetry_space_group_name_Hall 'I -4 -2'
loop_
_atom_site_label
_atom_site_type_symbol
_atom_site_fract_x
_atom_site_fract_y
_atom_site_fract_z
Ca1 Ca 0.0000 0.0000 0.0000
Ca2 Ca 0.0000 0.5000 0.2500
Pb1 Pb 0.0000 0.0000 0.5000
Se1 Se 0.0000 0.5000 0.7500
```

Entry 3:
The following is a DFT calculation (PBE-GGA) of Ca2PbSe after structural relaxation.

Values from the calculation:
The calculation puts the density of states at the Fermi level at 0.73 states/eV/atom. As for the formation energy without anion corrections: -0.89 eV per atom.

Cell and atoms, written as CIF:
```
data_Ca2PbSe
_chemical_formula_sum 'Ca2 Pb1 Se1'
_cell_length_a 5.4547
_cell_length_b 5.4547
_cell_length_c 3.7454
_cell_angle_alpha 90.00
_cell_angle_beta 90.00
_cell_angle_gamma 90.00
_symmetry_space_group_name_H-M 'P 4/m m m'
_symmetry_Int_Tables_number 123
_symmetry_space_group_name_Hall '-P 4 2'
loop_
_atom_site_label
_atom_site_type_symbol
_atom_site_fract_x
_atom_site_fract_y
_atom_site_fract_z
Ca1 Ca 0.0000 0.5000 0.0000
Pb1 Pb 0.0000 0.0000 0.5000
Se1 Se 0.5000 0.5000 0.5000
```

Entry 4:
The following is a DFT calculation (PBE-GGA) of Ca2PbSe after structural relaxation.

Values from the calculation:
The calculation puts the density of states at the Fermi level at 1.32 states/eV/atom. As for the formation energy without anion corrections: -0.30 eV per atom.

Cell and atoms, written as CIF:
```
data_Ca2PbSe
_chemical_formula_sum 'Ca8 Pb4 Se4'
_cell_length_a 7.7741
_cell_length_b 7.7741
_cell_length_c 7.7741
_cell_angle_alpha 90.00
_cell_angle_beta 90.00
_cell_angle_gamma 90.00
_symmetry_space_group_name_H-M 'F -4 3 m'
_symmetry_Int_Tables_number 216
_symmetry_space_group_name_Hall 'F -4 2 3'
loop_
_atom_site_label
_atom_site_type_symbol
_atom_site_fract_x
_atom_site_fract_y
_atom_site_fract_z
Ca1 Ca 0.0000 0.0000 0.0000
Ca2 Ca 0.2500 0.2500 0.2500
Pb1 Pb 0.0000 0.0000 0.5000
Se1 Se 0.2500 0.2500 0.7500
```

Entry 5:
The following is a DFT calculation (PBE-GGA) of Ca2PbSe after structural relaxation.

Values from the calculation:
The calculation puts the density of states at the Fermi level at 0.53 states/eV/atom. As for the formation energy without anion corrections: -1.19 eV per atom.

Cell and atoms, written as CIF:
```
data_Ca2PbSe
_chemical_formula_sum 'Ca6 Pb3 Se3'
_cell_length_a 4.0566
_cell_length_b 4.0566
_cell_length_c 25.1636
_cell_angle_alpha 90.00
_cell_angle_beta 90.00
_cell_angle_gamma 120.00
_symmetry_space_group_name_H-M 'R -3 m'
_symmetry_Int_Tables_number 166
_symmetry_space_group_name_Hall '-R 3 2"'
loop_
_atom_site_label
_atom_site_type_symbol
_atom_site_fract_x
_atom_site_fract_y
_atom_site_fract_z
Ca1 Ca 0.0000 0.0000 0.2364
Pb1 Pb 0.0000 0.0000 0.0000
Se1 Se 0.0000 0.0000 0.5000
```

Entry 6:
The following is a DFT calculation (PBE-GGA) of Ca2PbSe after structural relaxation.

Values from the calculation:
The calculation puts the density of states at the Fermi level at 0.97 states/eV/atom. As for the formation energy without anion corrections: -0.77 eV per atom.

Cell and atoms, written as CIF:
```
data_Ca2PbSe
_chemical_formula_sum 'Ca8 Pb4 Se4'
_cell_length_a 7.6596
_cell_length_b 7.6596
_cell_length_c 7.6596
_cell_angle_alpha 90.00
_cell_angle_beta 90.00
_cell_angle_gamma 90.00
_symmetry_space_group_name_H-M 'F m -3 m'
_symmetry_Int_Tables_number 225
_symmetry_space_group_name_Hall '-F 4 2 3'
loop_
_atom_site_label
_atom_site_type_symbol
_atom_site_fract_x
_atom_site_fract_y
_atom_site_fract_z
Ca1 Ca 0.2500 0.2500 0.2500
Pb1 Pb 0.0000 0.0000 0.0000
Se1 Se 0.0000 0.0000 0.5000
```

Entry 7:
The following is a DFT calculation (PBE-GGA) of Ca3Pb5Se12 after structural relaxation.

Values from the calculation:
The calculation puts the density of states at the Fermi level at 0.31 states/eV/atom. As for the formation energy without anion corrections: -0.65 eV per atom.

Cell and atoms, written as CIF:
```
data_Ca3Pb5Se12
_chemical_formula_sum 'Ca24 Pb40 Se96'
_cell_length_a 17.0944
_cell_length_b 17.0944
_cell_length_c 17.0944
_cell_angle_alpha 90.00
_cell_angle_beta 90.00
_cell_angle_gamma 90.00
_symmetry_space_group_name_H-M 'I a -3 d'
_symmetry_Int_Tables_number 230
_symmetry_space_group_name_Hall '-I 4bd 2c 3'
loop_
_atom_site_label
_atom_site_type_symbol
_atom_site_fract_x
_atom_site_fract_y
_atom_site_fract_z
Ca1 Ca 0.0000 0.2500 0.1250
Pb1 Pb 0.0000 0.0000 0.0000
Pb2 Pb 0.0000 0.2500 0.3750
Se1 Se 0.0179 0.0685 0.6555
```

Entry 8:
The following is a DFT calculation (PBE-GGA) of CaPb4Se5 after structural relaxation.

Values from the calculation:
As for the formation energy without anion corrections: -0.85 eV per atom.

Cell and atoms, written as CIF:
```
data_CaPb4Se5
_chemical_formula_sum 'Ca2 Pb8 Se10'
_cell_length_a 4.3513
_cell_length_b 6.1643
_cell_length_c 21.8552
_cell_angle_alpha 90.00
_cell_angle_beta 90.00
_cell_angle_gamma 90.00
_symmetry_space_group_name_H-M 'I m m m'
_symmetry_Int_Tables_number 71
_symmetry_space_group_name_Hall '-I 2 2'
loop_
_atom_site_label
_atom_site_type_symbol
_atom_site_fract_x
_atom_site_fract_y
_atom_site_fract_z
Ca1 Ca 0.0000 0.0000 0.0000
Pb1 Pb 0.0000 0.0000 0.1987
Pb2 Pb 0.0000 0.0000 0.4008
Se1 Se 0.0000 0.5000 0.0000
Se2 Se 0.0000 0.5000 0.2011
Se3 Se 0.0000 0.5000 0.4054
```

Entry 9:
The following is a DFT calculation (PBE-GGA) of Ca4PbSe after structural relaxation.

Values from the calculation:
The calculation puts the density of states at the Fermi level at 0.53 states/eV/atom. As for the formation energy without anion corrections: -0.04 eV per atom.

Cell and atoms, written as CIF:
```
data_Ca4PbSe
_chemical_formula_sum 'Ca16 Pb4 Se4'
_cell_length_a 9.2386
_cell_length_b 9.2386
_cell_length_c 9.2386
_cell_angle_alpha 90.00
_cell_angle_beta 90.00
_cell_angle_gamma 90.00
_symmetry_space_group_name_H-M 'F -4 3 m'
_symmetry_Int_Tables_number 216
_symmetry_space_group_name_Hall 'F -4 2 3'
loop_
_atom_site_label
_atom_site_type_symbol
_atom_site_fract_x
_atom_site_fract_y
_atom_site_fract_z
Ca1 Ca 0.1249 0.1249 0.1249
Pb1 Pb 0.2500 0.2500 0.7500
Se1 Se 0.0000 0.0000 0.5000
```

Entry 10:
The following is a DFT calculation (PBE-GGA) of Ca2PbSe after structural relaxation.

Values from the calculation:
The calculation puts the density of states at the Fermi level at 0.50 states/eV/atom. As for the formation energy without anion corrections: -0.87 eV per atom.

Cell and atoms, written as CIF:
```
data_Ca2PbSe
_chemical_formula_sum 'Ca8 Pb4 Se4'
_cell_length_a 8.2071
_cell_length_b 8.2071
_cell_length_c 7.4419
_cell_angle_alpha 90.00
_cell_angle_beta 90.00
_cell_angle_gamma 90.00
_symmetry_space_group_name_H-M 'I -4 2 d'
_symmetry_Int_Tables_number 122
_symmetry_space_group_name_Hall 'I -4 2bw'
loop_
_atom_site_label
_atom_site_type_symbol
_atom_site_fract_x
_atom_site_fract_y
_atom_site_fract_z
Ca1 Ca 0.2115 0.2500 0.1250
Pb1 Pb 0.0000 0.0000 0.5000
Se1 Se 0.0000 0.0000 0.0000
```

Entry 11:
The following is a DFT calculation (PBE-GGA) of Ca2PbSe after structural relaxation.

Values from the calculation:
The calculation puts the density of states at the Fermi level at 0.29 states/eV/atom. As for the formation energy without anion corrections: -1.08 eV per atom.

Cell and atoms, written as CIF:
```
data_Ca2PbSe
_chemical_formula_sum 'Ca4 Pb2 Se2'
_cell_length_a 3.7432
_cell_length_b 3.8325
_cell_length_c 16.9135
_cell_angle_alpha 90.00
_cell_angle_beta 90.00
_cell_angle_gamma 90.00
_symmetry_space_group_name_H-M 'I m m 2'
_symmetry_Int_Tables_number 44
_symmetry_space_group_name_Hall 'I 2 -2'
loop_
_atom_site_label
_atom_site_type_symbol
_atom_site_fract_x
_atom_site_fract_y
_atom_site_fract_z
Ca1 Ca 0.0000 0.0000 0.0000
Ca2 Ca 0.0000 0.5000 0.2114
Pb1 Pb 0.0000 0.5000 0.8372
Se1 Se 0.0000 0.0000 0.5764
```

Entry 12:
The following is a DFT calculation (PBE-GGA) of Ca4Pb2Se after structural relaxation.

Values from the calculation:
The calculation puts the density of states at the Fermi level at 0.06 states/eV/atom. As for the formation energy without anion corrections: -0.77 eV per atom.

Cell and atoms, written as CIF:
```
data_Ca4Pb2Se
_chemical_formula_sum 'Ca8 Pb4 Se2'
_cell_length_a 5.5931
_cell_length_b 5.5931
_cell_length_c 15.3226
_cell_angle_alpha 90.00
_cell_angle_beta 90.00
_cell_angle_gamma 90.00
_symmetry_space_group_name_H-M 'I 4/m m m'
_symmetry_Int_Tables_number 139
_symmetry_space_group_name_Hall '-I 4 2'
loop_
_atom_site_label
_atom_site_type_symbol
_atom_site_fract_x
_atom_site_fract_y
_atom_site_fract_z
Ca1 Ca 0.0000 0.0000 0.1849
Ca2 Ca 0.0000 0.5000 0.0000
Pb1 Pb 0.0000 0.0000 0.3860
Se1 Se 0.0000 0.0000 0.0000
```

Question: formation energy without anion corrections of number 2 (Ca2PbSe)?
Answer: -0.82 eV per atom